Compound: La4BiPd15
Source: the Alexandria database
Functional: PBE
Structure: relaxed

Values from the calculation:
calculated volume = 18.69 Å³ per atom
VASP energy = -115.2 eV/f.u.

Cell: 4.2210 4.2210 20.9820 Å, 90.00 90.00 90.00°
Last column: nearest neighbours and their distance in Å.
Space group P4/mmm (No. 123)
Unique sites:
La: 0.0000 0.0000 0.1006 [2 per cell]  12 Pd 2.98-3.01
La: 0.0000 0.0000 0.3019 [2 per cell]  12 Pd 2.96-3.02
Bi: 0.0000 0.0000 0.5000 [1 per cell]  12 Pd 2.91-2.98
Pd: 0.0000 0.5000 0.0000 [2 per cell]  8 Pd 2.98-3.00, 4 La 2.99
Pd: 0.0000 0.5000 0.2026 [4 per cell]  4 La 2.96-3.01, 8 Pd 2.98-3.02
Pd: 0.0000 0.5000 0.4048 [4 per cell]  8 Pd 2.91-2.98, 2 Bi 2.91, 2 La 3.02
Pd: 0.5000 0.5000 0.1013 [2 per cell]  4 La 2.98, 8 Pd 2.99-3.00
Pd: 0.5000 0.5000 0.3058 [2 per cell]  8 Pd 2.96-3.02, 4 La 2.99
Pd: 0.5000 0.5000 0.5000 [1 per cell]  8 Pd 2.91, 4 Bi 2.98

Compound: LaBi2Pd
Source: the Alexandria database
Functional: PBE
Structure: relaxed

Values from the calculation:
calculated volume = 29.42 Å³ per atom
VASP energy = -18.3 eV/f.u.

Cell: 3.5674 3.5674 32.0314 Å, 90.00 90.00 120.00°
Last column: nearest neighbours and their distance in Å.
Space group R-3m (No. 166, hexagonal axes)
Unique sites:
La: 0.0000 0.0000 0.0000 [3 per cell]  2 Bi 3.35, 6 La 3.57
Bi: 0.0000 0.0000 0.1045 [6 per cell]  3 Pd 2.87
Pd: 0.0000 0.0000 0.5000 [3 per cell]  6 Bi 2.87

Compound: LaBiPd6
Source: the Alexandria database
Functional: PBE
Structure: relaxed

Values from the calculation:
excess energy over the best structure of this formula in the dataset = 0.000 eV per atom
calculated volume = 18.35 Å³ per atom
VASP energy = -44.0 eV/f.u.

Cell: 4.2012 4.2012 8.3166 Å, 90.00 90.00 90.00°
Last column: nearest neighbours and their distance in Å.
Space group P4/mmm (No. 123)
Unique sites:
La: 0.0000 0.0000 0.0000 [1 per cell]  12 Pd 2.97-2.99
Bi: 0.0000 0.0000 0.5000 [1 per cell]  12 Pd 2.92-2.97
Pd: 0.0000 0.5000 0.2562 [4 per cell]  2 Bi 2.92, 8 Pd 2.92-2.99, 2 La 2.99
Pd: 0.5000 0.5000 0.0000 [1 per cell]  4 La 2.97, 8 Pd 2.99
Pd: 0.5000 0.5000 0.5000 [1 per cell]  8 Pd 2.92, 4 Bi 2.97

Compound: LaBiPd2
Source: the Alexandria database
Functional: PBE
Structure: relaxed

Values from the calculation:
calculated volume = 26.79 Å³ per atom
VASP energy = -21.0 eV/f.u.

Cell: 4.8748 4.8748 18.0366 Å, 90.00 90.00 90.00°
Last column: nearest neighbours and their distance in Å.
Space group I-42d (No. 122)
Unique sites:
La: 0.0000 0.0000 0.0000 [4 per cell]  4 Pd 2.99
Bi: 0.0000 0.0000 0.5000 [4 per cell]  4 Pd 2.71
Pd: 0.1828 0.2500 0.6250 [8 per cell]  2 Bi 2.71, 2 La 2.99, 2 Pd 3.02

Compound: LaBi2Pd7
Source: the Alexandria database
Functional: PBE
Structure: relaxed

Values from the calculation:
excess energy over the best structure of this formula in the dataset = 0.221 eV per atom
calculated volume = 23.77 Å³ per atom
VASP energy = -50.9 eV/f.u.

Cell: 7.5253 13.5902 4.6487 Å, 90.00 90.00 90.00°
Last column: nearest neighbours and their distance in Å.
Space group Cmmm (No. 65)
Unique sites:
La: 0.0000 0.0000 0.0000 [2 per cell]  10 Pd 2.77-3.06
Bi: 0.0000 0.3019 0.5000 [4 per cell]  7 Pd 2.68-2.98
Pd: 0.0000 0.2035 0.0000 [4 per cell]  2 Bi 2.68, 1 La 2.77, 4 Pd 2.99
Pd: 0.0000 0.5000 0.5000 [2 per cell]  2 Bi 2.69, 4 Pd 2.81
Pd: 0.1796 0.1068 0.5000 [8 per cell]  5 Pd 2.70-2.99, 2 Bi 2.71-2.98

Compound: La2BiPd9
Source: the Alexandria database
Functional: PBE
Structure: relaxed

Values from the calculation:
excess energy over the best structure of this formula in the dataset = 0.102 eV per atom
calculated volume = 19.46 Å³ per atom
VASP energy = -66.5 eV/f.u.

Cell: 5.4491 5.4491 27.2460 Å, 90.00 90.00 120.00°
Last column: nearest neighbours and their distance in Å.
Space group R-3m (No. 166, hexagonal axes)
Unique sites:
La: 0.0000 0.0000 0.1328 [6 per cell]  9 Pd 3.02-3.28
Bi: 0.0000 0.0000 0.0000 [3 per cell]  6 Pd 3.15
Pd: 0.0000 0.0000 0.3327 [6 per cell]  6 Pd 2.79-2.83
Pd: 0.0000 0.0000 0.5000 [3 per cell]  6 Pd 2.72
Pd: 0.0021 0.5010 0.9147 [18 per cell]  7 Pd 2.71-2.83, 2 La 3.02

Compound: LaBiPd2
Source: the Alexandria database
Functional: PBE
Structure: relaxed

Values from the calculation:
calculated volume = 22.96 Å³ per atom
VASP energy = -21.7 eV/f.u.

Cell: 4.8223 4.8223 3.9501 Å, 90.00 90.00 90.00°
Last column: nearest neighbours and their distance in Å.
Space group P4/mmm (No. 123)
Unique sites:
La: 0.0000 0.0000 0.0000 [1 per cell]  8 Pd 3.12, 4 Bi 3.41
Bi: 0.5000 0.5000 0.0000 [1 per cell]  8 Pd 3.12, 4 La 3.41
Pd: 0.0000 0.5000 0.5000 [2 per cell]  4 La 3.12, 4 Bi 3.12, 4 Pd 3.41

Compound: La4Bi8Pd3
Source: the Alexandria database
Functional: PBE
Structure: relaxed

Values from the calculation:
calculated volume = 29.14 Å³ per atom
VASP energy = -77.2 eV/f.u.

Cell: 4.7167 4.7167 19.6481 Å, 90.00 90.00 90.00°
Last column: nearest neighbours and their distance in Å.
Space group P-4m2 (No. 115)
Unique sites:
La: 0.0000 0.5000 0.1116 [2 per cell]  2 Pd 3.22, 8 Bi 3.41-3.57
La: 0.0000 0.5000 0.6179 [2 per cell]  4 Pd 3.31, 8 Bi 3.41-3.55
Bi: 0.0000 0.0000 0.2474 [2 per cell]  4 Bi 3.34, 4 La 3.55-3.56
Bi: 0.0000 0.5000 0.4192 [2 per cell]  4 Pd 2.84
Bi: 0.0000 0.5000 0.9245 [2 per cell]  2 Pd 2.79
Bi: 0.5000 0.5000 0.2478 [2 per cell]  4 Bi 3.34, 4 La 3.54-3.57
Pd: 0.0000 0.0000 0.0000 [1 per cell]  4 Bi 2.79
Pd: 0.0000 0.0000 0.5000 [1 per cell]  4 Bi 2.84
Pd: 0.5000 0.5000 0.5000 [1 per cell]  4 Bi 2.84